Entry 1:
Computed, not measured: a relaxed KRePd crystal at the PBE level of DFT.

Cell: 6.350 8.201 4.874 Å, 90.00 90.00 90.00°
Space group Ima2 (No. 46)
One atom of each set of equivalent atoms:
1 K 0.250 0.138 0.000
2 Re 0.250 0.724 0.808
3 Pd 0.000 0.000 0.508

## Properties
Volume (A^3/atom): 21.15
DFT formation energy (eV/atom): 0.76
Fermi-level density of states (states/eV per atom): 1.08

---

Entry 2:
Computed, not measured: a relaxed KRePd crystal at the PBE level of DFT.

Cell: 2.998 2.999 14.514 Å, 92.52 90.88 90.01°
Space group P-1 (No. 2)
One atom of each set of equivalent atoms:
1 K 0.223 0.174 0.146
2 Re 0.246 0.239 0.447
3 Pd 0.264 0.289 0.682

## Properties
Volume (A^3/atom): 21.72
DFT formation energy (eV/atom): 0.39
Fermi-level density of states (states/eV per atom): 0.80

---

Entry 3:
Computed, not measured: a relaxed KRePd crystal at the PBE level of DFT.

Cell: 2.929 4.694 11.931 Å, 83.27 83.37 71.96°
Space group P1 (No. 1)
One atom of each set of equivalent atoms:
1 K 0.000 0.000 0.000
2 K 0.388 0.593 0.656
3 Re 0.349 0.037 0.278
4 Re 0.660 0.479 0.208
5 Pd 0.025 0.579 0.389
6 Pd 0.721 0.099 0.480

## Properties
Volume (A^3/atom): 25.73
DFT formation energy (eV/atom): 0.54
Fermi-level density of states (states/eV per atom): 0.68

---

Entry 4:
Computed, not measured: a relaxed KRePd crystal at the PBE level of DFT.

Cell: 2.761 6.171 8.857 Å, 83.05 88.17 82.21°
Space group P1 (No. 1)
One atom of each set of equivalent atoms:
1 K 0.000 0.000 0.000
2 K 0.110 0.540 0.628
3 Re 0.056 0.456 0.235
4 Re 0.856 0.148 0.391
5 Pd 0.466 0.796 0.325
6 Pd 0.574 0.500 0.979

## Properties
Volume (A^3/atom): 24.74
DFT formation energy (eV/atom): 0.52
Fermi-level density of states (states/eV per atom): 0.62

---

Entry 5:
Computed, not measured: a relaxed KRePd crystal at the PBE level of DFT.

Cell: 4.540 12.491 5.019 Å, 90.00 90.00 90.00°
Space group Cmcm (No. 63)
One atom of each set of equivalent atoms:
1 K 0.000 0.220 0.250
2 Re 0.000 0.500 0.000
3 Pd 0.000 0.047 0.750

## Properties
Volume (A^3/atom): 23.72
DFT formation energy (eV/atom): 0.61
Fermi-level density of states (states/eV per atom): 0.90

---

Entry 6:
Computed, not measured: a relaxed KRePd3 crystal at the PBE level of DFT.

Cell: 4.927 4.927 4.927 Å, 90.00 90.00 90.00°
Space group Pm-3m (No. 221)
One atom of each set of equivalent atoms:
1 K 0.000 0.000 0.000
2 Re 0.500 0.500 0.500
3 Pd 0.000 0.500 0.500

## Properties
Volume (A^3/atom): 23.93
DFT formation energy (eV/atom): 0.81
Fermi-level density of states (states/eV per atom): 1.07

---

Entry 7:
Computed, not measured: a relaxed KRePd crystal at the PBE level of DFT.

Cell: 5.9166 5.9166 9.6201 Å, 90.00 90.00 120.00°
Space group P6_3/mmc (No. 194)
One atom of each set of equivalent atoms:
1 K 0.3333 0.6667 0.2500
2 Re 0.0000 0.0000 0.2500
3 Pd 0.0000 0.0000 0.0000

## Properties
Volume (A^3/atom): 48.61
DFT formation energy (eV/atom): 2.08
Fermi-level density of states (states/eV per atom): 0.89

---

Entry 8:
Computed, not measured: a relaxed K3PdRh crystal at the PBE level of DFT.

Cell: 5.999 5.999 5.999 Å, 90.00 90.00 90.00°
Space group Pm-3m (No. 221)
One atom of each set of equivalent atoms:
1 K 0.000 0.000 0.500
2 Pd 0.000 0.000 0.000
3 Rh 0.500 0.500 0.500

## Properties
Volume (A^3/atom): 43.18
DFT formation energy (eV/atom): 0.79
Fermi-level density of states (states/eV per atom): 1.38

---

Entry 9:
Computed, not measured: a relaxed KPd3Rh crystal at the PBE level of DFT.

Cell: 4.842 4.842 4.842 Å, 90.00 90.00 90.00°
Space group Pm-3m (No. 221)
One atom of each set of equivalent atoms:
1 K 0.000 0.000 0.000
2 Pd 0.000 0.000 0.500
3 Rh 0.500 0.500 0.500

## Properties
Volume (A^3/atom): 22.71
DFT formation energy (eV/atom): 1.80
Fermi-level density of states (states/eV per atom): 0.84

---

Entry 10:
Computed, not measured: a relaxed K2PdRh crystal at the PBE level of DFT.

Cell: 11.928 11.928 4.817 Å, 90.00 90.00 90.00°
Space group I-42d (No. 122)
One atom of each set of equivalent atoms:
1 K 0.064 0.750 0.125
2 Pd 0.000 0.000 0.000
3 Rh 0.000 0.000 0.500

## Properties
Volume (A^3/atom): 42.83
DFT formation energy (eV/atom): 0.60
Fermi-level density of states (states/eV per atom): 1.39

---

Entry 11:
Computed, not measured: a relaxed K2Pd2Rh crystal at the PBE level of DFT.

Cell: 6.680 6.680 5.374 Å, 90.00 90.00 90.00°
Space group P4/mbm (No. 127)
One atom of each set of equivalent atoms:
1 K 0.181 0.319 0.000
2 Pd 0.138 0.638 0.500
3 Rh 0.000 0.000 0.500

## Properties
Volume (A^3/atom): 23.98
DFT formation energy (eV/atom): 0.29
Fermi-level density of states (states/eV per atom): 1.00

---

Entry 12:
Computed, not measured: a relaxed KPd3Rh crystal at the PBE level of DFT.

Cell: 4.950 4.950 4.950 Å, 90.00 90.00 90.00°
Space group Pm-3m (No. 221)
One atom of each set of equivalent atoms:
1 K 0.000 0.000 0.000
2 Pd 0.000 0.500 0.500
3 Rh 0.500 0.500 0.500

## Properties
Volume (A^3/atom): 24.26
DFT formation energy (eV/atom): 0.66
Fermi-level density of states (states/eV per atom): 1.16

---

Entry 13:
Computed, not measured: a relaxed KPdRh2 crystal at the PBE level of DFT.

Cell: 4.511 4.511 18.697 Å, 90.00 90.00 90.00°
Space group I-42d (No. 122)
One atom of each set of equivalent atoms:
1 K 0.000 0.000 0.000
2 Pd 0.000 0.000 0.500
3 Rh 0.101 0.250 0.625

## Properties
Volume (A^3/atom): 23.78
DFT formation energy (eV/atom): 0.79
Fermi-level density of states (states/eV per atom): 1.09

---

Entry 14:
Computed, not measured: a relaxed KPdRh3 crystal at the PBE level of DFT.

Cell: 4.895 4.895 4.895 Å, 90.00 90.00 90.00°
Space group Pm-3m (No. 221)
One atom of each set of equivalent atoms:
1 K 0.000 0.000 0.000
2 Pd 0.500 0.500 0.500
3 Rh 0.000 0.500 0.500

## Properties
Volume (A^3/atom): 23.45
DFT formation energy (eV/atom): 1.21
Fermi-level density of states (states/eV per atom): 1.62

---

Entry 15:
Computed, not measured: a relaxed K2PdRh crystal at the PBE level of DFT.

Cell: 7.400 7.400 7.400 Å, 90.00 90.00 90.00°
Space group Fm-3m (No. 225)
One atom of each set of equivalent atoms:
1 K 0.250 0.250 0.250
2 Pd 0.000 0.000 0.000
3 Rh 0.000 0.000 0.500

## Properties
Volume (A^3/atom): 25.33
DFT formation energy (eV/atom): 0.79
Fermi-level density of states (states/eV per atom): 0.91

---

Entry 16:
Computed, not measured: a relaxed KPdRh2 crystal at the PBE level of DFT.

Cell: 6.584 6.584 6.584 Å, 90.00 90.00 90.00°
Space group Fm-3m (No. 225)
One atom of each set of equivalent atoms:
1 K 0.000 0.000 0.000
2 Pd 0.000 0.000 0.500
3 Rh 0.250 0.250 0.250

## Properties
Volume (A^3/atom): 17.84
DFT formation energy (eV/atom): 0.87
Fermi-level density of states (states/eV per atom): 1.77

---

Entry 17:
Computed, not measured: a relaxed KPdRh3 crystal at the PBE level of DFT.

Cell: 4.660 4.660 4.660 Å, 90.00 90.00 90.00°
Space group Pm-3m (No. 221)
One atom of each set of equivalent atoms:
1 K 0.000 0.000 0.000
2 Pd 0.500 0.500 0.500
3 Rh 0.000 0.000 0.500

## Properties
Volume (A^3/atom): 20.24
DFT formation energy (eV/atom): 2.27
Fermi-level density of states (states/eV per atom): 1.77

---

Entry 18:
Computed, not measured: a relaxed K2PdRuRh crystal at the PBE level of DFT.

Cell: 5.833 5.833 4.697 Å, 90.00 90.00 90.00°
Space group P4/mmm (No. 123)
One atom of each set of equivalent atoms:
1 K 0.000 0.500 0.000
2 Pd 0.000 0.000 0.500
3 Ru 0.000 0.000 0.000
4 Rh 0.500 0.500 0.500

## Properties
Volume (A^3/atom): 31.96
DFT formation energy (eV/atom): 1.57
Fermi-level density of states (states/eV per atom): 1.14

---

Entry 19:
Computed, not measured: a relaxed KSb2PdRh crystal at the PBE level of DFT.

Cell: 5.107 5.107 5.357 Å, 90.00 90.00 90.00°
Space group P4/mmm (No. 123)
One atom of each set of equivalent atoms:
1 K 0.000 0.000 0.000
2 Sb 0.000 0.500 0.500
3 Pd 0.000 0.000 0.500
4 Rh 0.500 0.500 0.000

## Properties
Volume (A^3/atom): 27.94
Uncorrected energy (eV per cell): -19.0
Fermi-level density of states (states/eV per atom): 0.67

---

Entry 20:
Computed, not measured: a relaxed K2Sb4Pd3Rh crystal at the PBE level of DFT.

Cell: 4.695 4.695 10.940 Å, 90.00 90.00 90.00°
Space group P-4m2 (No. 115)
One atom of each set of equivalent atoms:
1 K 0.000 0.500 0.246
2 Sb 0.000 0.000 0.500
3 Sb 0.000 0.500 0.883
4 Sb 0.500 0.500 0.500
5 Pd 0.000 0.000 0.000
6 Pd 0.000 0.500 0.629
7 Rh 0.500 0.500 0.000

## Properties
Volume (A^3/atom): 24.11
Uncorrected energy (eV per cell): -46.1
Fermi-level density of states (states/eV per atom): 0.59

---

Entry 21:
Computed, not measured: a relaxed KPd2RhSe crystal at the PBE level of DFT.

Cell: 4.867 4.867 5.617 Å, 90.00 90.00 90.00°
Space group P4/mmm (No. 123)
One atom of each set of equivalent atoms:
1 K 0.000 0.000 0.000
2 Pd 0.000 0.500 0.500
3 Rh 0.000 0.000 0.500
4 Se 0.500 0.500 0.000

## Properties
Volume (A^3/atom): 26.61
Uncorrected energy (eV per cell): -17.9
Fermi-level density of states (states/eV per atom): 1.18

---

Entry 22:
Computed, not measured: a relaxed KPdRhSe3 crystal at the PBE level of DFT.

Cell: 8.230 3.886 9.572 Å, 90.00 108.02 90.00°
Space group P2_1/m (No. 11)
One atom of each set of equivalent atoms:
1 K 0.216 0.250 0.257
2 Pd 0.095 0.250 0.585
3 Rh 0.331 0.750 0.853
4 Se 0.136 0.250 0.864
5 Se 0.274 0.750 0.578
6 Se 0.465 0.750 0.128

## Properties
Volume (A^3/atom): 24.26
Uncorrected energy (eV per cell): -54.4
Fermi-level density of states (states/eV per atom): 0.74

---

Entry 23:
Computed, not measured: a relaxed K4PdRh3Se8 crystal at the PBE level of DFT.

Cell: 7.8465 7.8465 21.4400 Å, 90.00 90.00 120.00°
Space group R-3m (No. 166, hexagonal axes)
One atom of each set of equivalent atoms:
1 K 0.0000 0.0000 0.0000
2 K 0.0000 0.5000 0.0000
3 Pd 0.0000 0.0000 0.5000
4 Rh 0.0000 0.5000 0.5000
5 Se 0.0000 0.0000 0.2227
6 Se 0.0084 0.5042 0.7770

## Properties
Volume (A^3/atom): 23.82
Uncorrected energy (eV per cell): -211.2
Fermi-level density of states (states/eV per atom): 0.21

---

Entry 24:
Computed, not measured: a relaxed K2PdRh2Se6 crystal at the PBE level of DFT.

Cell: 6.623 11.493 7.719 Å, 90.00 106.43 90.00°
Space group C2/m (No. 12)
One atom of each set of equivalent atoms:
1 K 0.000 0.165 0.000
2 Pd 0.000 0.000 0.500
3 Rh 0.000 0.332 0.500
4 Se 0.218 0.500 0.669
5 Se 0.224 0.167 0.667

## Properties
Volume (A^3/atom): 25.62
Uncorrected energy (eV per cell): -99.8

---

Entry 25:
Computed, not measured: a relaxed KTe3PdRh crystal at the PBE level of DFT.

Cell: 8.583 4.042 10.421 Å, 90.00 112.42 90.00°
Space group P2_1/m (No. 11)
One atom of each set of equivalent atoms:
1 K 0.249 0.250 0.291
2 Te 0.118 0.250 0.887
3 Te 0.246 0.750 0.574
4 Te 0.469 0.750 0.127
5 Pd 0.068 0.250 0.622
6 Rh 0.312 0.750 0.850

## Properties
Volume (A^3/atom): 27.85
Uncorrected energy (eV per cell): -52.0
Fermi-level density of states (states/eV per atom): 0.45

---

Entry 26:
Computed, not measured: a relaxed K2Tl6PdRh crystal at the PBE level of DFT.

Cell: 7.640 7.664 10.833 Å, 90.00 90.00 90.00°
Space group Immm (No. 71)
One atom of each set of equivalent atoms:
1 K 0.000 0.000 0.250
2 Tl 0.000 0.500 0.249
3 Tl 0.248 0.252 0.000
4 Pd 0.000 0.500 0.500
5 Rh 0.000 0.500 0.000

## Properties
Volume (A^3/atom): 31.71
DFT formation energy (eV/atom): -0.07
Fermi-level density of states (states/eV per atom): 0.68